The following is a GGA-PBE calculation of crystalline LaNi2H at its relaxed geometry, from Alexandria via LeMat-Bulk.

Results
Total moment in μB/cell: 0.000
Distance to the lowest polymorph of the same formula in eV/f.u.: 0.00
D(E_F) in states/eV per cell: 7.5

POSCAR file:
```
LaNi2H
1.0
-2.6911 2.6911 3.8165
2.6911 -2.6911 3.8165
2.6911 2.6911 -3.8165
La Ni H
2 4 2
Cartesian
2.6911 1.3456 0.9541 La
0.0000 1.3456 2.8624 La
0.0000 0.0000 0.0000 Ni
1.3456 1.3456 -1.9083 Ni
1.3456 -1.3456 1.9083 Ni
0.0000 2.6911 0.0000 Ni
2.6911 -1.3456 2.8624 H
0.0000 4.0367 0.9541 H
```